Compound: SiH2Br
Source: Alexandria via LeMat-Bulk
Functional: PBE
Structure: relaxed

The structure in CIF format:
```
data_SiH2Br
_chemical_formula_sum 'Si4 H8 Br4'
_space_group_name_H-M_alt 'F m -3 m'
_space_group_IT_number 225
_space_group_name_Hall '-F 4 2 3'
_cell_length_a 5.785
_cell_length_b 5.785
_cell_length_c 5.785
_cell_angle_alpha 90.00
_cell_angle_beta 90.00
_cell_angle_gamma 90.00
loop_
_atom_site_label
_atom_site_fract_x
_atom_site_fract_y
_atom_site_fract_z
_atom_site_occupancy
Si1 0.000 0.000 0.000 1
H1 0.250 0.250 0.250 1
Br1 0.000 0.000 0.500 1
```

Computed properties:
As for the offset from the most stable computed form: 1.098 eV/atom. The value obtained for the total energy is -2.34 eV per atom. The value obtained for the total moment is 0.0 μB per cell. Its density of states at the Fermi level is 7.22 states/eV/cell.

=====

Compound: MnBeCdH2
Source: Alexandria via LeMat-Bulk
Functional: PBE
Structure: relaxed

The structure in CIF format:
```
data_MnBeCdH2
_chemical_formula_sum 'Mn1 Be1 Cd1 H2'
_space_group_name_H-M_alt 'P 4/m m m'
_space_group_IT_number 123
_space_group_name_Hall '-P 4 2'
_cell_length_a 3.640
_cell_length_b 3.640
_cell_length_c 4.775
_cell_angle_alpha 90.00
_cell_angle_beta 90.00
_cell_angle_gamma 90.00
loop_
_atom_site_label
_atom_site_fract_x
_atom_site_fract_y
_atom_site_fract_z
_atom_site_occupancy
Mn1 0.000 0.000 0.000 1
Be1 0.000 0.000 0.500 1
Cd1 0.500 0.500 0.000 1
H1 0.000 0.500 0.500 1
```

Computed properties:
The value obtained for the total energy is -3.29 eV per atom. The value obtained for the total moment is 3.6 μB per cell. Its density of states at the Fermi level is 1.82 states/eV/cell.

=====

Compound: SrLaCrN4
Source: Alexandria via LeMat-Bulk
Functional: PBE
Structure: relaxed

The structure in CIF format:
```
data_SrLaCrN4
_chemical_formula_sum 'Sr2 La2 Cr2 N8'
_space_group_name_H-M_alt 'P 1 21/m 1'
_space_group_IT_number 11
_space_group_name_Hall '-P 2yb'
_cell_length_a 5.963
_cell_length_b 5.643
_cell_length_c 7.182
_cell_angle_alpha 90.00
_cell_angle_beta 107.15
_cell_angle_gamma 90.00
loop_
_atom_site_label
_atom_site_fract_x
_atom_site_fract_y
_atom_site_fract_z
_atom_site_occupancy
Sr1 0.211 0.250 0.428 1
La1 0.280 0.250 0.949 1
Cr1 0.268 0.750 0.198 1
N1 0.072 0.750 0.339 1
N2 0.099 0.750 0.957 1
N3 0.454 0.507 0.233 1
```

Computed properties:
The value obtained for the raw formation energy is -0.77 eV/atom. The value obtained for the total energy is -7.85 eV per atom. The value obtained for the total moment is 2.0 μB per cell. Its density of states at the Fermi level is 7.06 states/eV/cell.

=====

Compound: FeNi3N
Source: Alexandria via LeMat-Bulk
Functional: PBE
Structure: relaxed

The structure in CIF format:
```
data_FeNi3N
_chemical_formula_sum 'Fe1 Ni3 N1'
_space_group_name_H-M_alt 'P m -3 m'
_space_group_IT_number 221
_space_group_name_Hall '-P 4 2 3'
_cell_length_a 4.277
_cell_length_b 4.277
_cell_length_c 4.277
_cell_angle_alpha 90.00
_cell_angle_beta 90.00
_cell_angle_gamma 90.00
loop_
_atom_site_label
_atom_site_fract_x
_atom_site_fract_y
_atom_site_fract_z
_atom_site_occupancy
Fe1 0.000 0.000 0.000 1
Ni1 0.000 0.000 0.500 1
N1 0.500 0.500 0.500 1
```

Computed properties:
The value obtained for the raw formation energy is 2.05 eV/atom. As for the offset from the most stable computed form: 1.930 eV/atom. The value obtained for the total energy is -4.78 eV per atom. The value obtained for the total moment is 7.0 μB per cell. Its density of states at the Fermi level is 3.73 states/eV/cell.

=====

Compound: AcPu3Tc
Source: Alexandria via LeMat-Bulk
Functional: PBE
Structure: relaxed

The structure in CIF format:
```
data_AcPu3Tc
_chemical_formula_sum 'Ac1 Pu3 Tc1'
_space_group_name_H-M_alt 'P m -3 m'
_space_group_IT_number 221
_space_group_name_Hall '-P 4 2 3'
_cell_length_a 5.356
_cell_length_b 5.356
_cell_length_c 5.356
_cell_angle_alpha 90.00
_cell_angle_beta 90.00
_cell_angle_gamma 90.00
loop_
_atom_site_label
_atom_site_fract_x
_atom_site_fract_y
_atom_site_fract_z
_atom_site_occupancy
Ac1 0.000 0.000 0.000 1
Pu1 0.000 0.500 0.500 1
Tc1 0.500 0.500 0.500 1
```

Computed properties:
Its energy of formation from the pure elements is 0.26 eV/atom. The value obtained for the total energy is -11.23 eV per atom. The value obtained for the total moment is 16.5 μB per cell. Its density of states at the Fermi level is 23.25 states/eV/cell.

=====

Compound: BeAgOs2
Source: Alexandria via LeMat-Bulk
Functional: PBE
Structure: relaxed

The structure in CIF format:
```
data_BeAgOs2
_chemical_formula_sum 'Be2 Ag2 Os4'
_space_group_name_H-M_alt 'I -4 m 2'
_space_group_IT_number 119
_space_group_name_Hall 'I -4 -2'
_cell_length_a 3.967
_cell_length_b 3.967
_cell_length_c 7.071
_cell_angle_alpha 90.00
_cell_angle_beta 90.00
_cell_angle_gamma 90.00
loop_
_atom_site_label
_atom_site_fract_x
_atom_site_fract_y
_atom_site_fract_z
_atom_site_occupancy
Be1 0.000 0.000 0.000 1
Ag1 0.000 0.500 0.250 1
Os1 0.000 0.000 0.500 1
Os2 0.000 0.500 0.750 1
```

Computed properties:
Its energy of formation from the pure elements is 0.54 eV/atom. The value obtained for the total energy is -6.72 eV per atom. The value obtained for the total moment is 0.0 μB per cell. Its density of states at the Fermi level is 4.17 states/eV/cell.

=====

Compound: OsSe
Source: Alexandria via LeMat-Bulk
Functional: PBE
Structure: relaxed

The structure in CIF format:
```
data_OsSe
_chemical_formula_sum 'Os2 Se2'
_space_group_name_H-M_alt 'P -1'
_space_group_IT_number 2
_space_group_name_Hall '-P 1'
_cell_length_a 2.974
_cell_length_b 4.657
_cell_length_c 6.645
_cell_angle_alpha 74.83
_cell_angle_beta 89.73
_cell_angle_gamma 90.00
loop_
_atom_site_label
_atom_site_fract_x
_atom_site_fract_y
_atom_site_fract_z
_atom_site_occupancy
Os1 0.250 0.226 0.013 1
Se1 0.253 0.672 0.720 1
```

Computed properties:
The value obtained for the raw formation energy is 0.29 eV/atom. The value obtained for the total energy is -7.07 eV per atom. The value obtained for the total moment is 0.0 μB per cell. Its density of states at the Fermi level is 2.80 states/eV/cell.

=====

Compound: V2RuI8
Source: Alexandria via LeMat-Bulk
Functional: PBE
Structure: relaxed

The structure in CIF format:
```
data_V2RuI8
_chemical_formula_sum 'V4 Ru2 I16'
_space_group_name_H-M_alt 'C 1 2/m 1'
_space_group_IT_number 12
_space_group_name_Hall '-C 2y'
_cell_length_a 12.978
_cell_length_b 10.973
_cell_length_c 6.751
_cell_angle_alpha 90.00
_cell_angle_beta 93.94
_cell_angle_gamma 90.00
loop_
_atom_site_label
_atom_site_fract_x
_atom_site_fract_y
_atom_site_fract_z
_atom_site_occupancy
V1 0.175 0.000 0.129 1
Ru1 0.000 0.000 0.500 1
I1 0.080 0.183 0.281 1
I2 0.131 0.500 0.771 1
I3 0.178 0.000 0.741 1
```

Computed properties:
The value obtained for the raw formation energy is -0.23 eV/atom. The value obtained for the total energy is -3.86 eV per atom. The value obtained for the total moment is 8.0 μB per cell.

=====

Compound: In4CoAs
Source: Alexandria via LeMat-Bulk
Functional: PBE
Structure: relaxed

The structure in CIF format:
```
data_In4CoAs
_chemical_formula_sum 'In16 Co4 As4'
_space_group_name_H-M_alt 'F -4 3 m'
_space_group_IT_number 216
_space_group_name_Hall 'F -4 2 3'
_cell_length_a 8.386
_cell_length_b 8.386
_cell_length_c 8.386
_cell_angle_alpha 90.00
_cell_angle_beta 90.00
_cell_angle_gamma 90.00
loop_
_atom_site_label
_atom_site_fract_x
_atom_site_fract_y
_atom_site_fract_z
_atom_site_occupancy
In1 0.125 0.125 0.125 1
Co1 0.000 0.000 0.500 1
As1 0.250 0.250 0.750 1
```

Computed properties:
Its energy of formation from the pure elements is 0.71 eV/atom. The value obtained for the total energy is -3.08 eV per atom. The value obtained for the total moment is 7.5 μB per cell. Its density of states at the Fermi level is 21.57 states/eV/cell.

=====

Compound: Pm2Er7Tm3
Source: Alexandria via LeMat-Bulk
Functional: PBE
Structure: relaxed

The structure in CIF format:
```
data_Pm2Er7Tm3
_chemical_formula_sum 'Pm4 Er14 Tm6'
_space_group_name_H-M_alt 'C m m m'
_space_group_IT_number 65
_space_group_name_Hall '-C 2 2'
_cell_length_a 5.632
_cell_length_b 37.313
_cell_length_c 3.579
_cell_angle_alpha 90.00
_cell_angle_beta 90.00
_cell_angle_gamma 90.00
loop_
_atom_site_label
_atom_site_fract_x
_atom_site_fract_y
_atom_site_fract_z
_atom_site_occupancy
Pm1 0.000 0.147 0.000 1
Er1 0.000 0.000 0.000 1
Er2 0.000 0.071 0.500 1
Er3 0.000 0.231 0.000 1
Er4 0.000 0.411 0.000 1
Tm1 0.000 0.314 0.500 1
Tm2 0.000 0.500 0.500 1
```

Computed properties:
Its energy of formation from the pure elements is 0.12 eV/atom. As for the offset from the most stable computed form: 0.047 eV/atom. The value obtained for the total energy is -4.45 eV per atom. The value obtained for the total moment is 0.0 μB per cell. Its density of states at the Fermi level is 34.71 states/eV/cell.

=====

Compound: SmPuMoN3
Source: Alexandria via LeMat-Bulk
Functional: PBE
Structure: relaxed

The structure in CIF format:
```
data_SmPuMoN3
_chemical_formula_sum 'Sm2 Pu2 Mo2 N6'
_space_group_name_H-M_alt 'P 1 21/m 1'
_space_group_IT_number 11
_space_group_name_Hall '-P 2yb'
_cell_length_a 7.307
_cell_length_b 3.335
_cell_length_c 7.803
_cell_angle_alpha 90.00
_cell_angle_beta 96.70
_cell_angle_gamma 90.00
loop_
_atom_site_label
_atom_site_fract_x
_atom_site_fract_y
_atom_site_fract_z
_atom_site_occupancy
Sm1 0.156 0.250 0.181 1
Pu1 0.362 0.750 0.842 1
Mo1 0.111 0.250 0.581 1
N1 0.124 0.250 0.850 1
N2 0.177 0.750 0.423 1
N3 0.415 0.750 0.119 1
```

Computed properties:
The value obtained for the raw formation energy is -0.88 eV/atom. The value obtained for the total energy is -10.02 eV per atom. The value obtained for the total moment is 9.3 μB per cell. Its density of states at the Fermi level is 13.33 states/eV/cell.

=====

Compound: BeNiPt3
Source: Alexandria via LeMat-Bulk
Functional: PBE
Structure: relaxed

The structure in CIF format:
```
data_BeNiPt3
_chemical_formula_sum 'Be1 Ni1 Pt3'
_space_group_name_H-M_alt 'P m -3 m'
_space_group_IT_number 221
_space_group_name_Hall '-P 4 2 3'
_cell_length_a 4.184
_cell_length_b 4.184
_cell_length_c 4.184
_cell_angle_alpha 90.00
_cell_angle_beta 90.00
_cell_angle_gamma 90.00
loop_
_atom_site_label
_atom_site_fract_x
_atom_site_fract_y
_atom_site_fract_z
_atom_site_occupancy
Be1 0.000 0.000 0.000 1
Ni1 0.500 0.500 0.500 1
Pt1 0.000 0.000 0.500 1
```

Computed properties:
Its energy of formation from the pure elements is 0.19 eV/atom. The value obtained for the total energy is -5.34 eV per atom. The value obtained for the total moment is 1.1 μB per cell. Its density of states at the Fermi level is 7.17 states/eV/cell.